Entry 1:
Compound: HfTl2TcHg
Source: the Alexandria database
Functional: PBE
Structure: optimized geometry

```
5
Lattice="-5.306 0.173 0.996 -0.223 -4.871 -0.345 0.981 -0.420 5.295" Properties=species:S:1:pos:R:3 pbc="T T T"
Tl 0.490 -0.210 2.648
Tl -2.653 0.086 0.498
Hf -0.112 -2.435 -0.172
Hg -2.274 -2.559 2.973
Tc 0.000 0.000 0.000
```

## Properties
ΔH_f (0 K) (eV/atom): 0.443

***

Entry 2:
Compound: HfVTcHg2
Source: the Alexandria database
Functional: PBE
Structure: optimized geometry

```
5
Lattice="-3.360 -3.194 2.389 0.524 -3.141 -3.462 3.946 -2.207 2.599" Properties=species:S:1:pos:R:3 pbc="T T T"
V 0.555 -4.271 0.763
Hf 0.262 -1.570 -1.731
Hg 1.973 -1.103 1.299
Hg -1.680 -1.597 1.195
Tc 0.000 0.000 0.000
```

## Properties
ΔH_f (0 K) (eV/atom): 1.302
Energy above the lowest structure with this stoichiometry (meV per atom): 0

***

Entry 3:
Compound: HfVTc2Hg
Source: the Alexandria database
Functional: PBE
Structure: optimized geometry

```
5
Lattice="4.479 0.000 0.000 0.000 4.855 0.000 0.000 0.000 4.479" Properties=species:S:1:pos:R:3 pbc="T T T"
V 0.000 0.000 0.000
Hf 0.000 2.427 0.000
Hg 2.239 2.427 2.239
Tc 0.000 0.000 2.239
Tc 2.239 0.000 0.000
```

## Properties
ΔH_f (0 K) (eV/atom): 0.893

***

Entry 4:
Compound: HfVTcHg2
Source: the Alexandria database
Functional: PBE
Structure: optimized geometry

```
5
Lattice="-2.034 -2.571 4.239 3.548 -3.023 -0.131 2.821 3.168 3.275" Properties=species:S:1:pos:R:3 pbc="T T T"
V 2.167 -1.213 3.691
Hf 0.000 0.000 0.000
Hg 1.410 1.584 1.638
Hg -1.017 -1.286 2.119
Tc 1.774 -1.512 -0.066
```

## Properties
ΔH_f (0 K) (eV/atom): 1.667
Energy above the lowest structure with this stoichiometry (meV per atom): 365

***

Entry 5:
Compound: HfTcHgW2
Source: the Alexandria database
Functional: PBE
Structure: optimized geometry

```
5
Lattice="-3.684 3.042 0.490 -1.914 -1.586 -4.547 -2.519 -3.414 2.251" Properties=species:S:1:pos:R:3 pbc="T T T"
Hf 0.000 0.000 0.000
Hg -0.957 -0.793 -2.273
W -1.260 -1.707 1.126
W -1.842 1.521 0.245
Tc -4.059 -0.979 -0.903
```

## Properties
ΔH_f (0 K) (eV/atom): 2.522

***

Entry 6:
Compound: HfZrTcHg
Source: the Alexandria database
Functional: PBE
Structure: optimized geometry

```
4
Lattice="-3.212 0.161 3.559 -4.685 -0.297 -0.983 -2.455 -3.943 1.195" Properties=species:S:1:pos:R:3 pbc="T T T"
Hf -5.176 -2.040 1.885
Hg -7.764 -3.060 2.828
Zr 0.000 0.000 0.000
Tc -2.588 -1.020 0.943
```

## Properties
ΔH_f (0 K) (eV/atom): -0.157
Energy above the lowest structure with this stoichiometry (meV per atom): 175

***

Entry 7:
Compound: HfZrTcHg
Source: the Alexandria database
Functional: PBE
Structure: optimized geometry

```
4
Lattice="3.312 0.000 0.000 0.000 3.312 0.000 0.000 0.000 7.227" Properties=species:S:1:pos:R:3 pbc="T T T"
Hf 1.656 1.656 2.563
Zr 1.656 1.656 5.702
Tc 0.000 0.000 4.085
Hg 0.000 0.000 0.549
```

## Properties
ΔH_f (0 K) (eV/atom): -0.332
Energy above the lowest structure with this stoichiometry (meV per atom): 0

***

Entry 8:
Compound: HfHgTe2
Source: the Alexandria database
Functional: PBE
Structure: optimized geometry

```
4
Lattice="1.893 0.000 12.941 -0.946 1.639 12.941 -0.946 -1.639 12.941" Properties=species:S:1:pos:R:3 pbc="T T T"
Te 0.000 0.000 35.939
Te 0.000 0.000 2.883
Hf 0.000 0.000 0.000
Hg 0.000 0.000 19.411
```

## Properties
Raw formation energy (eV/atom): 0.193

***

Entry 9:
Compound: HfHgTe2
Source: the Alexandria database
Functional: PBE
Structure: optimized geometry

```
8
Lattice="-6.891 -6.940 -1.391 2.743 -4.408 8.405 -4.402 -3.721 5.291" Properties=species:S:1:pos:R:3 pbc="T T T"
Te -4.889 -7.419 1.745
Te 0.741 -3.929 5.269
Te -1.981 -3.085 0.794
Te -2.167 -8.263 6.220
Hf -6.683 -8.168 3.703
Hf -1.866 -6.901 8.601
Hg -5.312 -10.372 7.906
Hg -3.238 -4.697 4.399
```

## Properties
Raw formation energy (eV/atom): -0.342

***

Entry 10:
Compound: HfHgTe2
Source: the Alexandria database
Functional: PBE
Structure: optimized geometry

```
4
Lattice="-0.408 3.614 -0.131 -2.325 -0.364 -2.776 -5.988 -0.492 5.080" Properties=species:S:1:pos:R:3 pbc="T T T"
Te -4.731 -0.389 4.014
Te -1.257 -0.103 1.066
Hf -1.367 1.625 -1.454
Hg -4.361 1.379 1.086
```

## Properties
Raw formation energy (eV/atom): -0.364

***

Entry 11:
Compound: HfHgTe3
Source: the Alexandria database
Functional: PBE
Structure: optimized geometry

```
5
Lattice="5.585 0.000 0.000 0.000 5.585 0.000 0.000 0.000 5.585" Properties=species:S:1:pos:R:3 pbc="T T T"
Te 0.000 2.793 0.000
Te 0.000 0.000 2.793
Te 2.793 0.000 0.000
Hf 0.000 0.000 0.000
Hg 2.793 2.793 2.793
```

## Properties
Energy above the lowest structure with this stoichiometry (meV per atom): 0
Raw formation energy (eV/atom): -0.154

***

Entry 12:
Compound: HfHgTe2
Source: the Alexandria database
Functional: PBE
Structure: optimized geometry

```
16
Lattice="-7.578 -2.116 3.590 0.833 -3.666 -0.402 5.699 -0.021 12.019" Properties=species:S:1:pos:R:3 pbc="T T T"
Te -1.859 -2.321 8.429
Te -5.677 -4.530 2.875
Te 0.814 -3.482 6.777
Te 4.632 -1.273 12.331
Te 2.109 -1.576 9.864
Te 0.500 -3.169 3.264
Te -3.154 -4.227 5.343
Te -1.545 -2.634 11.943
Hf -1.195 -1.852 5.524
Hf 4.931 -2.897 9.978
Hf 0.150 -3.951 9.682
Hf -5.976 -2.906 5.228
Hg 3.244 -1.006 7.018
Hg -2.423 -3.732 2.339
Hg -4.289 -4.797 8.189
Hg 1.378 -2.071 12.867
```

## Properties
Raw formation energy (eV/atom): -0.277

***

Entry 13:
Compound: HfHgTe2
Source: the Alexandria database
Functional: PBE
Structure: optimized geometry

```
8
Lattice="13.082 0.000 0.931 3.446 4.415 -1.744 -3.446 4.415 1.744" Properties=species:S:1:pos:R:3 pbc="T T T"
Te 1.150 3.233 0.442
Te 7.691 1.182 0.908
Te 5.257 4.028 -0.275
Te 8.352 4.802 1.934
Hf 2.700 5.836 0.220
Hf 9.241 7.410 0.686
Hg 4.032 1.243 0.645
Hg 10.573 3.172 1.111
```

## Properties
Raw formation energy (eV/atom): -0.357

***

Entry 14:
Compound: HfHgTe2
Source: the Alexandria database
Functional: PBE
Structure: optimized geometry

```
32
Lattice="18.808 0.000 -1.757 3.224 5.426 -4.640 -3.224 5.426 4.640" Properties=species:S:1:pos:R:3 pbc="T T T"
Te 19.377 7.814 -2.784
Te 8.835 2.389 0.149
Te -0.569 3.037 1.028
Te 9.973 8.463 -1.906
Te 14.525 1.220 -1.383
Te 13.687 6.645 -1.252
Te 4.283 9.632 -0.374
Te 5.121 4.206 -0.505
Te 10.406 5.122 -2.257
Te 21.031 5.122 -5.018
Te 8.402 5.729 0.500
Te -2.222 5.729 3.261
Te 12.494 4.166 1.002
Te 6.314 6.686 -2.759
Te 15.718 3.771 -3.637
Te 3.090 7.080 1.881
Hf 7.706 4.132 -1.979
Hf 4.922 4.132 -3.539
Hf 11.102 6.719 0.222
Hf 13.886 6.719 1.783
Hf 6.003 1.331 0.280
Hf 3.401 6.757 -1.158
Hf 12.806 9.520 -2.037
Hf 15.407 4.095 -0.598
Hg 1.690 4.680 0.062
Hg 7.714 10.106 -0.940
Hg 17.118 6.172 -1.819
Hg 11.094 0.746 -0.816
Hg 6.217 7.529 1.278
Hg -0.037 7.529 2.483
Hg 12.591 3.322 -3.034
Hg 18.845 3.322 -4.240
```

## Properties
Raw formation energy (eV/atom): -0.446

***

Entry 15:
Compound: HfHgTe2
Source: the Alexandria database
Functional: PBE
Structure: optimized geometry

```
4
Lattice="-3.358 0.462 1.913 2.167 -3.175 0.611 5.626 5.487 8.551" Properties=species:S:1:pos:R:3 pbc="T T T"
Hf 1.297 1.993 5.754
Hg 0.000 0.000 0.000
Te 1.914 1.867 2.910
Te 3.712 3.620 5.641
```

## Properties
Raw formation energy (eV/atom): -0.504

***

Entry 16:
Compound: HfHgTe2
Source: the Alexandria database
Functional: PBE
Structure: optimized geometry

```
32
Lattice="-5.097 -8.481 14.643 -0.895 -7.287 -3.152 6.790 -3.995 -1.331" Properties=species:S:1:pos:R:3 pbc="T T T"
Te 3.143 -7.461 -2.951
Te -1.134 -5.501 6.807
Te -2.344 -12.302 13.111
Te 1.932 -14.262 3.353
Te -2.507 -8.268 11.572
Te -0.467 -13.393 6.840
Te 3.305 -11.495 -1.412
Te 1.265 -6.370 3.320
Te -0.904 -9.222 6.316
Te 0.764 -17.863 9.941
Te 1.702 -10.541 3.844
Te 0.034 -1.900 0.219
Te 0.318 -9.785 9.749
Te 0.480 -9.978 0.411
Te -3.527 -11.427 8.841
Te 4.325 -8.336 1.319
Hf 1.392 -4.295 1.105
Hf 2.354 -11.993 1.430
Hf -0.594 -15.468 9.055
Hf -1.556 -7.770 8.731
Hf 3.400 -8.369 4.036
Hf 4.133 -6.165 -0.548
Hf -2.602 -11.394 6.124
Hf -3.335 -13.598 10.708
Hg -1.757 -7.539 3.868
Hg -0.921 -5.454 -0.280
Hg 2.555 -12.224 6.292
Hg 1.719 -14.309 10.440
Hg -2.091 -9.735 1.804
Hg 1.488 -7.230 0.206
Hg 2.889 -10.028 8.356
Hg -0.690 -12.533 9.954
```

## Properties
Raw formation energy (eV/atom): -0.434

***

Entry 17:
Compound: HfHg2Te2
Source: the Alexandria database
Functional: PBE
Structure: optimized geometry

```
10
Lattice="7.427 0.000 0.000 0.000 7.427 0.000 0.000 0.000 5.341" Properties=species:S:1:pos:R:3 pbc="T T T"
Te 2.539 6.253 0.000
Te 6.253 4.888 0.000
Te 4.888 1.174 0.000
Te 1.174 2.539 0.000
Hf 0.000 0.000 0.000
Hf 3.714 3.714 0.000
Hg 1.215 4.929 2.671
Hg 4.929 6.212 2.671
Hg 6.212 2.498 2.671
Hg 2.498 1.215 2.671
```

## Properties
Energy above the lowest structure with this stoichiometry (meV per atom): 142
Raw formation energy (eV/atom): 0.033

***

Entry 18:
Compound: HfHgTe2
Source: the Alexandria database
Functional: PBE
Structure: optimized geometry

```
8
Lattice="-1.876 -1.564 6.931 3.328 -6.527 -0.572 3.880 -2.542 4.372" Properties=species:S:1:pos:R:3 pbc="T T T"
Te -0.543 -2.982 5.195
Te 1.995 -5.108 1.164
Te 0.249 -1.914 1.755
Te 1.204 -6.177 4.604
Hf 3.029 -7.339 6.955
Hf 2.303 -3.294 3.776
Hg 1.365 -4.076 7.241
Hg 3.967 -6.557 3.490
```

## Properties
Raw formation energy (eV/atom): 0.001

***

Entry 19:
Compound: HfHg2Te2
Source: the Alexandria database
Functional: PBE
Structure: optimized geometry

```
5
Lattice="3.824 0.000 0.000 0.000 3.824 0.000 1.912 1.912 9.989" Properties=species:S:1:pos:R:3 pbc="T T T"
Te 1.912 1.912 1.655
Te 3.824 3.824 8.334
Hf 0.000 0.000 0.000
Hg 3.824 1.912 4.995
Hg 1.912 3.824 4.995
```

## Properties
Energy above the lowest structure with this stoichiometry (meV per atom): 0
Raw formation energy (eV/atom): -0.109

***

Entry 20:
Compound: HfHgTe2
Source: the Alexandria database
Functional: PBE
Structure: optimized geometry

```
16
Lattice="-14.956 6.772 4.983 -2.002 -2.644 -2.417 2.707 -5.883 4.194" Properties=species:S:1:pos:R:3 pbc="T T T"
Te -13.007 -0.475 6.070
Te -1.246 -1.280 0.690
Te -7.370 -0.835 5.279
Te -6.882 -0.920 1.481
Te -1.372 -4.966 1.344
Te -12.880 3.212 5.416
Te -4.048 -3.116 5.021
Te -10.204 1.361 1.739
Hf -7.747 1.269 3.289
Hf -6.505 -3.023 3.471
Hf -15.337 3.304 3.866
Hf 1.085 -5.059 2.894
Hg -3.981 0.858 0.618
Hg -10.271 -2.613 6.142
Hg -4.146 -3.057 1.554
Hg -10.106 1.302 5.206
```

## Properties
Raw formation energy (eV/atom): -0.491

***

Entry 21:
Compound: HfHgTe3
Source: the Alexandria database
Functional: PBE
Structure: optimized geometry

```
5
Lattice="5.461 0.000 0.000 0.000 5.461 0.000 0.000 0.000 5.461" Properties=species:S:1:pos:R:3 pbc="T T T"
Te 0.000 2.731 0.000
Te 0.000 0.000 2.731
Te 2.731 0.000 0.000
Hf 2.731 2.731 2.731
Hg 0.000 0.000 0.000
```

## Properties
Energy above the lowest structure with this stoichiometry (meV per atom): 1009
Raw formation energy (eV/atom): 0.855

***

Entry 22:
Compound: HfHgTe2
Source: the Alexandria database
Functional: PBE
Structure: optimized geometry

```
8
Lattice="-2.142 14.981 3.196 -0.855 -14.841 -4.271 -1.900 -1.364 5.120" Properties=species:S:1:pos:R:3 pbc="T T T"
Te -1.520 -10.772 -1.886
Te -3.376 9.547 5.932
Te -2.568 13.518 4.195
Te -2.329 -14.742 -0.150
Hf -1.406 -13.420 -2.549
Hf -3.491 12.195 6.595
Hg -1.686 -6.928 -0.924
Hg -3.211 5.704 4.970
```

## Properties
Raw formation energy (eV/atom): -0.032

***

Entry 23:
Compound: HfHgTe4
Source: the Alexandria database
Functional: PBE
Structure: optimized geometry

```
12
Lattice="7.210 0.080 -1.537 -2.386 7.076 -2.837 -0.012 -0.272 7.991" Properties=species:S:1:pos:R:3 pbc="T T T"
Hf 3.025 7.131 -3.981
Hf 1.787 -0.247 7.599
Hg 0.843 2.689 3.278
Hg 3.969 4.194 0.340
Te 0.009 2.323 0.148
Te -1.923 6.267 -0.663
Te 0.779 5.827 2.338
Te 4.033 1.056 1.279
Te 4.803 4.560 3.470
Te 3.230 1.516 5.671
Te 1.582 5.367 -2.053
Te 6.735 0.617 4.281
```

## Properties
Raw formation energy (eV/atom): -0.366

***

| no. | calculated volume (Å³ per atom) | energy (eV/atom) |
| --- | --- | --- |
| 1 | 28.522 | -4.6276 |
| 2 | 25.586 | -4.7061 |
| 3 | 19.476 | -7.1279 |
| 4 | 26.785 | -4.3412 |
| 5 | 23.906 | -6.7835 |
| 6 | 19.507 | -7.4490 |
| 7 | 19.825 | -7.6239 |
| 8 | 30.111 | -3.9419 |
| 9 | 42.982 | -4.4763 |
| 10 | 26.048 | -4.4986 |
| 11 | 34.845 | -4.0900 |
| 12 | 27.184 | -4.4121 |
| 13 | 28.726 | -4.4913 |
| 14 | 27.671 | -4.5806 |
| 15 | 38.090 | -4.6383 |
| 16 | 30.726 | -4.5682 |
| 17 | 29.464 | -3.3351 |
| 18 | 24.919 | -4.1338 |
| 19 | 29.209 | -3.4775 |
| 20 | 30.340 | -4.6254 |
| 21 | 32.577 | -3.0814 |
| 22 | 34.501 | -4.1669 |
| 23 | 33.541 | -4.1701 |